1.
A geometry-optimized Tm2PuFe2 structure. Source: the Alexandria database, functional PBE-GGA.

The structure belongs to space group C2/c (No. 15); the cell edges are 9.518, 5.670 and 7.474 Å and the angles 90.00°, 100.61° and 90.00°. The asymmetric unit holds Tm at (0.152, 0.120, 0.151), Pu at (0.000, 0.383, 0.750) and Fe at (0.128, 0.371, 0.508).

The value obtained for the formation energy is -0.1185 eV per atom. The total magnetization comes out at 12.55 μB/cell. As for the total energy: -8.159 eV/atom.

2.
A geometry-optimized KInPb structure. Source: the Alexandria database, functional PBE-GGA.

The structure belongs to space group Cm (No. 8); the cell edges are 18.147, 5.386 and 4.714 Å and the angles 90.00°, 105.00° and 90.00°. The asymmetric unit holds K at (0.000, 0.000, 0.000), K at (0.161, 0.500, 0.661), In at (0.217, 0.000, 0.218), In at (0.327, 0.000, 0.827), Pb at (0.331, 0.500, 0.331) and Pb at (0.441, 0.000, 0.441).

The value obtained for the formation energy is -0.0998 eV per atom. The total magnetization comes out at 0.00 μB/cell. As for the total energy: -2.615 eV/atom.

3.
A geometry-optimized CsYTa2Cd structure. Source: the Alexandria database, functional PBE-GGA.

The structure belongs to space group P4/mmm (No. 123); the cell edges are 5.300, 5.300 and 5.720 Å and the angles 90.00°, 90.00° and 90.00°. The asymmetric unit holds Cs at (0.000, 0.000, 0.000), Y at (0.500, 0.500, 0.000), Ta at (0.000, 0.500, 0.500) and Cd at (0.500, 0.500, 0.500).

The value obtained for the formation energy is 1.8197 eV per atom. The total magnetization comes out at 1.97 μB/cell. As for the total energy: -4.568 eV/atom.